No. 1
The following is a DFT calculation (PBE) of a relaxed structure of MnCd2Ru.

```
MnCd2Ru
1.0
-3.698 3.698 2.615
3.698 -3.698 2.615
3.698 3.698 -2.615
Mn Cd Ru
2 4 2
direct
0.000 0.000 0.000
0.750 0.250 0.500
0.115 0.625 0.990
0.375 0.365 0.490
0.635 0.125 0.010
0.875 0.885 0.510
0.250 0.750 0.500
0.500 0.500 0.000
```

Electronic total energy = -32.11 eV for the cell shown
Energy of formation from the pure elements = 1.055 eV per atom
Density of states at the Fermi level = 13.70 states/eV per cell
Crystal system = tetragonal

---

No. 2
The following is a DFT calculation (PBE) of a relaxed structure of LuSiRuRh.

```
LuSiRuRh
1.0
0.000 3.133 3.133
3.133 0.000 3.133
3.133 3.133 0.000
Lu Si Ru Rh
1 1 1 1
direct
0.000 0.000 0.000
0.500 0.500 0.500
0.750 0.750 0.750
0.250 0.250 0.250
```

Electronic total energy = -29.54 eV for the cell shown
Formation energy without anion corrections = -0.743 eV per atom
Density of states at the Fermi level = 0.91 states/eV per cell
Crystal system = cubic